Compound: DyInNi
Source: OQMD
Functional: PBE
Structure: relaxed

a b c (Å): 6.9043 6.9043 4.5275
angles (deg): 90.00 90.00 120.00
Closest atoms and distances in Å follow each position.
Space group P-62m (No. 189)
Inequivalent atoms, fractional coordinates:
Dy (0.0000, 0.5532, 0.0000)  5 In 3.04-3.09, 2 Ni 3.21
In (0.0000, 0.0000, 0.0000)  6 Ni 2.74
In (0.3333, 0.6667, 0.5000)  3 Ni 2.76, 6 Dy 3.04
Ni (0.0000, 0.2235, 0.5000)  2 Ni 2.67, 4 In 2.74-2.76

## Properties
E (eV per atom): -4.57



Compound: Ba2InOsS6
Source: OQMD
Functional: PBE
Structure: relaxed

a b c (Å): 6.7235 6.7235 10.7346
angles (deg): 90.00 90.00 90.00
Closest atoms and distances in Å follow each position.
Space group I4/m (No. 87)
Inequivalent atoms, fractional coordinates:
Ba (0.0000, 0.5000, 0.2500)  8 S 3.17-3.37
In (0.0000, 0.0000, 0.0000)  4 S 2.57
Os (0.0000, 0.0000, 0.5000)  6 S 2.38-2.43
S (0.0000, 0.0000, 0.2733)  1 Os 2.43
S (0.1660, 0.3134, 0.5000)  1 Os 2.38, 1 In 2.57

## Properties
E (eV per atom): -5.11
E above lowest polymorph (meV/atom): 0



Compound: Cs3Rb2TcO6
Source: OQMD
Functional: PBE
Structure: relaxed

a b c (Å): 6.6652 11.5378 6.6306
angles (deg): 90.00 108.86 90.00
Closest atoms and distances in Å follow each position.
Space group C2/m (No. 12)
Inequivalent atoms, fractional coordinates:
Cs (0.0000, 0.0000, 0.0000)  4 O 2.85
Cs (0.0000, 0.3311, 0.0000)  4 O 2.83
Rb (0.0000, 0.1666, 0.5000)  6 O 2.81-2.85
Tc (0.0000, 0.5000, 0.5000)  6 O 1.92-1.94
O (0.1760, 0.5000, 0.3168)  1 Tc 1.94
O (0.1771, 0.3821, 0.6749)  1 Tc 1.92

## Properties
E (eV per atom): -5.12